The following is a DFT calculation (PBE) of BeBRhI2 after structural relaxation.

Summary:
As for the magnetization: 0.0 μB per formula unit. The total energy comes out at -3.32 eV per atom. As for the energy relative to the elements, uncorrected: 4.3 eV per formula unit. The crystal system is tetragonal.

a b c (Å): 5.5159 3.9442 5.5159
angles (deg): 90.00 90.00 90.00
With the nearest neighbours (Å) after each atom.
Fractional coordinates of all 5 atoms:
I  0.0000  0.0000  0.5000  2 Rh 2.76
I  0.5000  0.0000  0.0000  2 Rh 2.76
Rh  0.0000  0.0000  0.0000  2 B 1.97
B  0.0000  0.5000  0.0000  2 Rh 1.97
Be  0.5000  0.5000  0.5000  8 I 3.39